The following is a PBE calculation of a geometry-optimized Hf2PtAu structure, from the Alexandria database.

CIF file:
```
data_Hf2PtAu
_chemical_formula_sum 'Hf2 Pt1 Au1'
_space_group_name_H-M_alt 'P 4/m m m'
_space_group_IT_number 123
_space_group_name_Hall '-P 4 2'
_cell_length_a 3.322
_cell_length_b 3.322
_cell_length_c 6.897
_cell_angle_alpha 90.00
_cell_angle_beta 90.00
_cell_angle_gamma 90.00
loop_
_atom_site_label
_atom_site_type_symbol
_atom_site_fract_x
_atom_site_fract_y
_atom_site_fract_z
_atom_site_occupancy
Hf1 Hf 0.000 0.000 0.238 1
Pt1 Pt 0.500 0.500 0.000 1
Au1 Au 0.500 0.500 0.500 1
```

## Properties
N(E_F)   3.29 states/eV per cell
Energy relative to the elements   -0.7182 eV per atom
Density   16.338 g cm⁻³
Crystal system   tetragonal

---

The following is a PBE calculation of a geometry-optimized CuRuSe2 structure, from the Alexandria database.

CIF file:
```
data_CuRuSe2
_chemical_formula_sum 'Cu1 Ru1 Se2'
_space_group_name_H-M_alt 'P 1 2/m 1'
_space_group_IT_number 10
_cell_length_a 4.087
_cell_length_b 3.167
_cell_length_c 5.177
_cell_angle_alpha 90.00
_cell_angle_beta 90.63
_cell_angle_gamma 90.00
loop_
_space_group_symop_operation_xyz
'x,y,z'
'-x,-y,-z'
'-x,y,-z'
'x,-y,z'
loop_
_atom_site_label
_atom_site_type_symbol
_atom_site_fract_x
_atom_site_fract_y
_atom_site_fract_z
_atom_site_occupancy
Cu1 Cu 0.000 0.000 0.000 1
Ru1 Ru 0.500 0.500 0.500 1
Se1 Se 0.000 0.000 0.500 1
Se2 Se 0.500 0.500 0.000 1
```

## Properties
N(E_F)   3.71 states/eV per cell
Density   7.995 g cm⁻³
Raw formation energy   16 kJ/mol of atoms
Crystal system   monoclinic

---

The following is a PBE calculation of a geometry-optimized PtI3Br structure, from the Alexandria database.

CIF file:
```
data_PtI3Br
_chemical_formula_sum 'Pt4 I12 Br4'
_space_group_name_H-M_alt 'C 1 c 1'
_space_group_IT_number 9
_cell_length_a 8.206
_cell_length_b 17.246
_cell_length_c 6.919
_cell_angle_alpha 90.00
_cell_angle_beta 126.20
_cell_angle_gamma 90.00
loop_
_space_group_symop_operation_xyz
'x,y,z'
'x,-y,z+1/2'
'x+1/2,y+1/2,z'
'x+1/2,-y+1/2,z+1/2'
loop_
_atom_site_label
_atom_site_type_symbol
_atom_site_fract_x
_atom_site_fract_y
_atom_site_fract_z
_atom_site_occupancy
Pt1 Pt 0.000 0.196 0.000 1
I1 I 0.243 0.309 0.019 1
I2 I 0.255 0.195 0.481 1
I3 I 0.296 0.416 0.543 1
Br1 Br 0.209 0.096 0.974 1
```

## Properties
Distance to the lowest polymorph of the same formula   0 meV/atom
Density   5.512 g cm⁻³
Raw formation energy   -14 kJ/mol of atoms
Crystal system   monoclinic

---

The following is a PBE calculation of a geometry-optimized BeBO2 structure, from the Alexandria database.

CIF file:
```
data_BeBO2
_chemical_formula_sum 'Be4 B4 O8'
_space_group_name_H-M_alt 'F m -3 m'
_space_group_IT_number 225
_space_group_name_Hall '-F 4 2 3'
_cell_length_a 4.823
_cell_length_b 4.823
_cell_length_c 4.823
_cell_angle_alpha 90.00
_cell_angle_beta 90.00
_cell_angle_gamma 90.00
loop_
_atom_site_label
_atom_site_type_symbol
_atom_site_fract_x
_atom_site_fract_y
_atom_site_fract_z
_atom_site_occupancy
Be1 Be 0.000 0.000 0.000 1
B1 B 0.000 0.000 0.500 1
O1 O 0.250 0.250 0.250 1
```

## Properties
Distance to the lowest polymorph of the same formula   1779 meV/atom
N(E_F)   4.82 states/eV per cell
Density   3.068 g cm⁻³
Raw formation energy   30 kJ/mol of atoms
Crystal system   cubic

---

The following is a PBE calculation of a geometry-optimized Tb3Pr4Y4 structure, from the Alexandria database.

CIF file:
```
data_Tb3Pr4Y4
_chemical_formula_sum 'Tb6 Pr8 Y8'
_space_group_name_H-M_alt 'I m m m'
_space_group_IT_number 71
_space_group_name_Hall '-I 2 2'
_cell_length_a 3.621
_cell_length_b 9.437
_cell_length_c 22.330
_cell_angle_alpha 90.00
_cell_angle_beta 90.00
_cell_angle_gamma 90.00
loop_
_atom_site_label
_atom_site_type_symbol
_atom_site_fract_x
_atom_site_fract_y
_atom_site_fract_z
_atom_site_occupancy
Tb1 Tb 0.000 0.000 0.000 1
Tb2 Tb 0.000 0.500 0.108 1
Pr1 Pr 0.000 0.322 0.357 1
Y1 Y 0.000 0.000 0.260 1
Y2 Y 0.000 0.182 0.500 1
```

## Properties
Distance to the lowest polymorph of the same formula   0 meV/atom
N(E_F)   37.06 states/eV per cell
Energy relative to the elements   0.1244 eV per atom
Density   6.076 g cm⁻³
Crystal system   orthorhombic

---

The following is a PBE calculation of a geometry-optimized YEr4Tm5 structure, from the Alexandria database.

CIF file:
```
data_YEr4Tm5
_chemical_formula_sum 'Y1 Er4 Tm5'
_space_group_name_H-M_alt 'P 1'
_space_group_IT_number 1
_cell_length_a 5.361
_cell_length_b 6.951
_cell_length_c 8.649
_cell_angle_alpha 89.97
_cell_angle_beta 72.05
_cell_angle_gamma 89.98
loop_
_space_group_symop_operation_xyz
'x,y,z'
loop_
_atom_site_label
_atom_site_type_symbol
_atom_site_fract_x
_atom_site_fract_y
_atom_site_fract_z
_atom_site_occupancy
Y1 Y 0.000 0.000 0.000 1
Er1 Er 0.200 0.000 0.600 1
Er2 Er 0.389 0.251 0.221 1
Er3 Er 0.611 0.252 0.778 1
Er4 Er 0.800 0.501 0.399 1
Tm1 Tm 0.000 0.501 0.000 1
Tm2 Tm 0.200 0.501 0.602 1
Tm3 Tm 0.389 0.750 0.221 1
Tm4 Tm 0.611 0.750 0.778 1
Tm5 Tm 0.800 0.000 0.400 1
```

## Properties
Distance to the lowest polymorph of the same formula   0 meV/atom
N(E_F)   18.24 states/eV per cell
Energy relative to the elements   0.0537 eV per atom
Density   8.679 g cm⁻³
Crystal system   triclinic

---

Q: Which formula does entry 4 have?
A: BeBO2